Here is an optimized crystal structure of Li3Ni3F8 from Alexandria. Energies are from PBE+U.

Unit cell a=6.0836 b=6.0836 c=14.5856 alpha=90.00 beta=90.00 gamma=120.00
Space group R-3m (No. 166, hexagonal axes)
One atom of each set of equivalent atoms:
Li  0.0000  0.0000  0.0000
Li  0.0000  0.0000  0.3807
Ni  0.0000  0.5000  0.5000
F  0.0000  0.0000  0.2500
F  0.0211  0.5105  0.7538

**E**: -4.324 eV/atom